No. 1
VASP calculation (PBE) on crystalline HoEr2Mg at its relaxed geometry.

Cell and atoms, written as CIF:
```
data_HoEr2Mg
_cell_length_a 3.4544
_cell_length_b 3.4544
_cell_length_c 34.0392
_cell_angle_alpha 90.00
_cell_angle_beta 90.00
_cell_angle_gamma 120.00
_symmetry_space_group_name_H-M 'R 3 m'
_symmetry_Int_Tables_number 160
_symmetry_space_group_name_Hall 'R 3 -2"'
loop_
_atom_site_label
_atom_site_type_symbol
_atom_site_fract_x
_atom_site_fract_y
_atom_site_fract_z
_atom_site_occupancy
Ho1 Ho 0.0000 0.0000 0.0000 1
Er1 Er 0.0000 0.0000 0.4174 1
Er2 Er 0.0000 0.0000 0.5830 1
Mg1 Mg 0.0000 0.0000 0.1668 1
```

Computed properties:
E	-45.366	eV/cell
E above lowest polymorph	0.0714	eV/atom
E_form	44	meV per atom
N(E_F)	5.79	states/eV/f.u.

No. 2
VASP calculation (PBE) on crystalline TbPmSc at its relaxed geometry.

Cell and atoms, written as CIF:
```
data_TbPmSc
_cell_length_a 3.5167
_cell_length_b 3.5167
_cell_length_c 25.3407
_cell_angle_alpha 90.00
_cell_angle_beta 90.00
_cell_angle_gamma 120.00
_symmetry_space_group_name_H-M 'R 3 m'
_symmetry_Int_Tables_number 160
_symmetry_space_group_name_Hall 'R 3 -2"'
loop_
_atom_site_label
_atom_site_type_symbol
_atom_site_fract_x
_atom_site_fract_y
_atom_site_fract_z
_atom_site_occupancy
Tb1 Tb 0.0000 0.0000 0.0000 1
Pm1 Pm 0.0000 0.0000 0.2133 1
Sc1 Sc 0.0000 0.0000 0.7720 1
```

Computed properties:
E	-46.781	eV/cell
E above lowest polymorph	0.0000	eV/atom
E_form	40	meV per atom
N(E_F)	3.62	states/eV/f.u.

No. 3
VASP calculation (PBE) on crystalline Tb2PmZn at its relaxed geometry.

Cell and atoms, written as CIF:
```
data_Tb2PmZn
_cell_length_a 3.599
_cell_length_b 3.599
_cell_length_c 8.692
_cell_angle_alpha 90.00
_cell_angle_beta 90.00
_cell_angle_gamma 90.00
_symmetry_space_group_name_H-M 'P 4/m m m'
_symmetry_Int_Tables_number 123
_symmetry_space_group_name_Hall '-P 4 2'
loop_
_atom_site_label
_atom_site_type_symbol
_atom_site_fract_x
_atom_site_fract_y
_atom_site_fract_z
_atom_site_occupancy
Tb1 Tb 0.000 0.000 0.204 1
Pm1 Pm 0.500 0.500 0.500 1
Zn1 Zn 0.500 0.500 0.000 1
```

Computed properties:
E	-15.930	eV/cell
E above lowest polymorph	0.0000	eV/atom
E_form	-161	meV per atom
N(E_F)	4.77	states/eV/f.u.

No. 4
VASP calculation (PBE) on crystalline Tb4In5Pd2 at its relaxed geometry.

Cell and atoms, written as CIF:
```
data_Tb4In5Pd2
_cell_length_a 7.735
_cell_length_b 3.653
_cell_length_c 9.724
_cell_angle_alpha 90.00
_cell_angle_beta 94.56
_cell_angle_gamma 90.00
_symmetry_space_group_name_H-M 'P 1 2/m 1'
_symmetry_Int_Tables_number 10
_symmetry_space_group_name_Hall '-P 2y'
loop_
_atom_site_label
_atom_site_type_symbol
_atom_site_fract_x
_atom_site_fract_y
_atom_site_fract_z
_atom_site_occupancy
Tb1 Tb 0.179 0.000 0.359 1
Tb2 Tb 0.227 0.000 0.939 1
In1 In 0.174 0.500 0.650 1
In2 In 0.454 0.500 0.179 1
In3 In 0.500 0.500 0.500 1
Pd1 Pd 0.073 0.500 0.138 1
```

Computed properties:
E	-49.422	eV/cell
E_form	-620	meV per atom
N(E_F)	6.27	states/eV/f.u.